Record 1
## ZrMnCl2 (PBE-GGA)

Data for a geometry-optimized ZrMnCl2 structure.

Lattice parameters (Å, degrees): 3.7107 3.7107 10.8823 90.00 90.00 90.00
Element x y z (fractional)
1 Zr 0.0000 0.0000 0.0000
2 Zr 0.5000 0.5000 0.5000
3 Mn 0.0000 0.5000 0.2500
4 Mn 0.5000 0.0000 0.7500
5 Cl 0.0000 0.0000 0.5000
6 Cl 0.0000 0.5000 0.7500
7 Cl 0.5000 0.0000 0.2500
8 Cl 0.5000 0.5000 0.0000

Computed properties:
- Crystal system: tetragonal
- Formation energy (no corrections): -136 meV per atom
- Symmetry: I-4m2, No. 119
- N(E_F): 4.08 states/eV/f.u.

***

Record 2
## ZrMn2Cl (PBE-GGA)

Data for a geometry-optimized ZrMn2Cl structure.

Lattice parameters (Å, degrees): 3.1646 3.1646 26.5394 90.00 90.00 120.00
Element x y z (fractional)
1 Zr 0.0000 0.0000 0.0000
2 Zr 0.3333 0.6667 0.6667
3 Zr 0.6667 0.3333 0.3333
4 Mn 0.0000 0.0000 0.2467
5 Mn 0.0000 0.0000 0.5155
6 Mn 0.3333 0.6667 0.1821
7 Mn 0.3333 0.6667 0.9133
8 Mn 0.6667 0.3333 0.5800
9 Mn 0.6667 0.3333 0.8488
10 Cl 0.0000 0.0000 0.7382
11 Cl 0.3333 0.6667 0.4048
12 Cl 0.6667 0.3333 0.0715

Computed properties:
- Crystal system: trigonal
- Formation energy (no corrections): -65 meV per atom
- Symmetry: R3m, No. 160
- N(E_F): 2.73 states/eV/f.u.

***

Record 3
## ZrMn2Cl (PBE-GGA)

Data for a geometry-optimized ZrMn2Cl structure.

Lattice parameters (Å, degrees): 4.1894 4.1894 8.0528 90.00 90.00 90.00
Element x y z (fractional)
1 Zr 0.0000 0.0000 0.0000
2 Zr 0.5000 0.5000 0.5000
3 Mn 0.0000 0.0000 0.5000
4 Mn 0.0000 0.5000 0.2500
5 Mn 0.5000 0.0000 0.7500
6 Mn 0.5000 0.5000 0.0000
7 Cl 0.0000 0.5000 0.7500
8 Cl 0.5000 0.0000 0.2500

Computed properties:
- Crystal system: tetragonal
- Formation energy (no corrections): 382 meV per atom
- Symmetry: I-4m2, No. 119
- N(E_F): 3.77 states/eV/f.u.

***

N(E_F) of number 2 (ZrMn2Cl)? 2.73 states/eV/f.u.